[1]
First-principles (PBE) data for a geometry-optimized Ho5Er3Tl2 structure, as listed in Alexandria.

Properties
The value obtained for the density of states at the Fermi level is 51.2 states/eV/cell. The volume is 31.3 Å³ per atom. For the energy of formation from the pure elements, the calculation gives 163 meV per atom. The total energy is -158.71 eV per cell. The spin magnetization is 0.00 μB/atom.

a = 12.775 Å, b = 15.369 Å, c = 6.374 Å
α = 90.00°, β = 90.00°, γ = 90.00°
Space group Ibam (No. 72)
Inequivalent atoms, fractional coordinates:
Ho  0.000  0.000  0.250 x4
Ho  0.112  0.166  0.000 x8
Ho  0.249  0.000  0.250 x8
Er  0.000  0.500  0.250 x4
Er  0.121  0.280  0.500 x8
Tl  0.130  0.355  0.000 x8



[2]
First-principles (PBE) data for a geometry-optimized HoEr7Tl4 structure, as listed in Alexandria.

Properties
The value obtained for the density of states at the Fermi level is 26.5 states/eV/cell. The volume is 29.4 Å³ per atom. For the energy of formation from the pure elements, the calculation gives 10 meV per atom. The total energy is -91.73 eV per cell. The spin magnetization is 0.00 μB/atom.

a = 14.868 Å, b = 5.738 Å, c = 9.693 Å
α = 90.00°, β = 121.53°, γ = 90.00°
Space group C2/m (No. 12)
Inequivalent atoms, fractional coordinates:
Ho  0.000  0.000  0.000 x2
Er  0.000  0.500  0.000 x2
Er  0.069  0.000  0.408 x4
Er  0.204  0.000  0.879 x4
Er  0.244  0.500  0.698 x4
Tl  0.049  0.500  0.711 x4
Tl  0.185  0.500  0.338 x4



[3]
First-principles (PBE) data for a geometry-optimized Ho9ErTl2 structure, as listed in Alexandria.

Properties
The value obtained for the density of states at the Fermi level is 14.4 states/eV/cell. The volume is 29.2 Å³ per atom. For the energy of formation from the pure elements, the calculation gives -107 meV per atom. The total energy is -51.78 eV per cell. The spin magnetization is 0.00 μB/atom.

a = 4.849 Å, b = 4.849 Å, c = 14.883 Å
α = 90.00°, β = 90.00°, γ = 90.00°
Space group P4/mmm (No. 123)
Inequivalent atoms, fractional coordinates:
Ho  0.000  0.000  0.000 x1
Ho  0.000  0.000  0.337 x2
Ho  0.000  0.500  0.171 x4
Ho  0.000  0.500  0.500 x2
Er  0.500  0.500  0.000 x1
Tl  0.500  0.500  0.340 x2



[4]
First-principles (PBE) data for a geometry-optimized Ho15Er4Tl structure, as listed in Alexandria.

Properties
The value obtained for the density of states at the Fermi level is 23.5 states/eV/cell. The volume is 30.3 Å³ per atom. For the energy of formation from the pure elements, the calculation gives -16 meV per atom. The total energy is -89.61 eV per cell. The spin magnetization is 0.00 μB/atom.

a = 4.931 Å, b = 4.931 Å, c = 24.964 Å
α = 90.00°, β = 90.00°, γ = 90.00°
Space group P4/mmm (No. 123)
Inequivalent atoms, fractional coordinates:
Ho  0.000  0.000  0.000 x1
Ho  0.000  0.000  0.196 x2
Ho  0.000  0.000  0.399 x2
Ho  0.000  0.500  0.098 x4
Ho  0.000  0.500  0.299 x4
Ho  0.000  0.500  0.500 x2
Er  0.500  0.500  0.199 x2
Er  0.500  0.500  0.399 x2
Tl  0.500  0.500  0.000 x1